Entry from Alexandria: a PBEsol-optimized structure of SrCu2Si (meta-GGA SCAN).

a b c (Å): 7.103 4.094 5.875
angles (deg): 90.00 113.86 90.00
Space group Cm (No. 8)
One atom of each set of equivalent atoms:
1 Sr 0.000 0.000 0.000 (multiplicity 2)
2 Cu 0.189 0.000 0.565 (multiplicity 2)
3 Cu 0.494 0.000 0.481 (multiplicity 2)
4 Si 0.308 0.500 0.420 (multiplicity 2)

Properties
raw total energy	-63.74	eV per formula unit
uncorrected formation energy	-263	meV per atom


Entry from Alexandria: a PBEsol-optimized structure of TaCu2Si (meta-GGA SCAN).

a b c (Å): 2.7301 2.7301 25.4176
angles (deg): 90.00 90.00 120.00
Space group R-3m (No. 166, hexagonal axes)
One atom of each set of equivalent atoms:
1 Ta 0.0000 0.0000 0.0000 (multiplicity 3)
2 Cu 0.0000 0.0000 0.2427 (multiplicity 6)
3 Si 0.0000 0.0000 0.5000 (multiplicity 3)

Properties
raw total energy	-106.32	eV per formula unit
uncorrected formation energy	170	meV per atom


Entry from Alexandria: a PBEsol-optimized structure of TaCu2Si (meta-GGA SCAN).

a b c (Å): 3.638 3.638 8.114
angles (deg): 90.00 90.00 90.00
Space group I4/mmm (No. 139)
One atom of each set of equivalent atoms:
1 Ta 0.000 0.000 0.000 (multiplicity 2)
2 Cu 0.000 0.500 0.250 (multiplicity 4)
3 Si 0.000 0.000 0.500 (multiplicity 2)

Properties
raw total energy	-106.87	eV per formula unit
uncorrected formation energy	33	meV per atom


Entry from Alexandria: a PBEsol-optimized structure of TaCu2Si (meta-GGA SCAN).

a b c (Å): 2.771 4.500 8.635
angles (deg): 90.00 90.00 90.00
Space group Imm2 (No. 44)
One atom of each set of equivalent atoms:
1 Ta 0.000 0.000 0.000 (multiplicity 2)
2 Cu 0.000 0.000 0.514 (multiplicity 2)
3 Cu 0.000 0.500 0.773 (multiplicity 2)
4 Si 0.000 0.500 0.240 (multiplicity 2)

Properties
raw total energy	-106.51	eV per formula unit
uncorrected formation energy	122	meV per atom